Entry from Alexandria: Sr3La3TbS8 after structural relaxation (PBE-GGA).

Cell: 8.3318 8.3318 8.4350 Å, 119.59 90.00 120.01°
Element x y z (fractional)
Sr1 0.0000 0.0000 0.0000
Sr2 0.0000 0.5000 0.0000
Sr3 0.5000 0.5000 0.0000
La1 0.5000 0.0000 0.5000
La2 0.5000 0.5000 0.5000
La3 0.0000 0.5000 0.5000
Tb1 0.0000 0.0000 0.5000
S1 0.2517 0.5035 0.2554
S2 0.7483 0.4965 0.7446
S3 0.7647 0.5294 0.2717
S4 0.2353 0.4706 0.7283
S5 0.7647 0.0070 0.2717
S6 0.2353 0.9930 0.7283
S7 0.2423 0.0070 0.2717
S8 0.7577 0.9930 0.7283

Energy relative to the elements, uncorrected = -2.1244 eV/atom
DOS(E_F) = 5.9 states/eV/f.u.
SG = R-3m

Entry from Alexandria: SrLaTb2S4 after structural relaxation (PBE-GGA).

Cell: 4.0272 7.0684 7.0294 Å, 70.98 90.00 90.00°
Element x y z (fractional)
Sr1 0.0000 0.5000 0.5000
La1 0.5000 0.5000 0.0000
Tb1 0.0000 0.0000 0.0000
Tb2 0.5000 0.0000 0.5000
S1 0.0000 0.7678 0.7436
S2 0.0000 0.2322 0.2564
S3 0.5000 0.7686 0.2433
S4 0.5000 0.2314 0.7567

Energy relative to the elements, uncorrected = -2.0585 eV/atom
DOS(E_F) = 3.3 states/eV/f.u.
SG = P2/m

Entry from Alexandria: Sr2LaTbS4 after structural relaxation (PBE-GGA).

Cell: 4.1205 7.1437 7.2633 Å, 109.07 90.00 90.00°
Element x y z (fractional)
Sr1 0.5000 0.0000 0.5000
Sr2 0.0000 0.5000 0.5000
La1 0.5000 0.5000 0.0000
Tb1 0.0000 0.0000 0.0000
S1 0.5000 0.2364 0.2341
S2 0.5000 0.7636 0.7659
S3 0.0000 0.2442 0.7600
S4 0.0000 0.7558 0.2400

Energy relative to the elements, uncorrected = -2.0686 eV/atom
DOS(E_F) = 3.7 states/eV/f.u.
SG = P2/m

Entry from Alexandria: SrLa2Tl3S6 after structural relaxation (PBE-GGA).

Cell: 4.2927 8.7547 9.7742 Å, 104.03 102.69 90.00°
Element x y z (fractional)
Sr1 0.5000 0.0000 0.0000
La1 0.8332 0.6689 0.6663
La2 0.1668 0.3311 0.3337
Tl1 0.5000 0.5000 0.0000
Tl2 0.8348 0.1656 0.6696
Tl3 0.1652 0.8344 0.3304
S1 0.3378 0.8905 0.6756
S2 0.6750 0.5599 0.3501
S3 0.6622 0.1095 0.3244
S4 0.0114 0.2469 0.0228
S5 0.9886 0.7531 0.9772
S6 0.3250 0.4401 0.6499

Energy relative to the elements, uncorrected = -1.3593 eV/atom
DOS(E_F) = 6.8 states/eV/f.u.
SG = C2/m

Entry from Alexandria: SrLa2TlS after structural relaxation (PBE-GGA).

Cell: 5.5480 5.6091 5.5480 Å, 90.00 90.00 90.00°
Element x y z (fractional)
Sr1 0.0000 0.5000 0.0000
Tl1 0.5000 0.5000 0.5000
S1 0.0000 0.0000 0.0000
La1 0.0000 0.0000 0.5000
La2 0.5000 0.0000 0.0000

Energy relative to the elements, uncorrected = -0.8679 eV/atom
DOS(E_F) = 2.9 states/eV/f.u.
SG = P4/mmm

Entry from Alexandria: Sr2LaTlS4 after structural relaxation (PBE-GGA).

Cell: 4.3128 7.3341 7.5618 Å, 71.29 90.00 90.00°
Element x y z (fractional)
Sr1 0.0000 0.0000 0.0000
Sr2 0.5000 0.0000 0.5000
La1 0.0000 0.5000 0.5000
Tl1 0.5000 0.5000 0.0000
S1 0.0000 0.7559 0.7226
S2 0.0000 0.2441 0.2774
S3 0.5000 0.7455 0.2673
S4 0.5000 0.2545 0.7327

Energy relative to the elements, uncorrected = -1.7752 eV/atom
SG = P2/m

Entry from Alexandria: Sr2LaTmS4 after structural relaxation (PBE-GGA).

Cell: 4.0948 7.1192 7.2183 Å, 109.01 90.00 90.00°
Element x y z (fractional)
Sr1 0.5000 0.0000 0.5000
Sr2 0.0000 0.5000 0.5000
La1 0.5000 0.5000 0.0000
Tm1 0.0000 0.0000 0.0000
S1 0.5000 0.2309 0.2291
S2 0.5000 0.7691 0.7709
S3 0.0000 0.2405 0.7625
S4 0.0000 0.7595 0.2375

Energy relative to the elements, uncorrected = -2.0439 eV/atom
DOS(E_F) = 3.6 states/eV/f.u.
SG = P2/m

Entry from Alexandria: Sr2LaUS6 after structural relaxation (PBE-GGA).

Cell: 7.0533 7.5602 10.3063 Å, 90.00 90.40 90.00°
Element x y z (fractional)
Sr1 0.0282 0.9207 0.2504
Sr2 0.5282 0.5793 0.7504
Sr3 0.9718 0.0793 0.7496
Sr4 0.4718 0.4207 0.2496
La1 0.5000 0.0000 0.0000
La2 0.0000 0.5000 0.5000
U1 0.5000 0.0000 0.5000
U2 0.0000 0.5000 0.0000
S1 0.2979 0.6845 0.0631
S2 0.7979 0.8155 0.5631
S3 0.7021 0.3155 0.9369
S4 0.2021 0.1845 0.4369
S5 0.3223 0.7066 0.4305
S6 0.8223 0.7934 0.9305
S7 0.6777 0.2934 0.5695
S8 0.1777 0.2066 0.0695
S9 0.8760 0.5464 0.2374
S10 0.3760 0.9536 0.7374
S11 0.1240 0.4536 0.7626
S12 0.6240 0.0464 0.2626

Energy relative to the elements, uncorrected = -1.8539 eV/atom
DOS(E_F) = 0.4 states/eV/f.u.
SG = P2_1/c

Entry from Alexandria: Sr3La3YS8 after structural relaxation (PBE-GGA).

Cell: 8.3262 8.3266 8.4349 Å, 119.58 90.00 120.00°
Element x y z (fractional)
Sr1 0.0000 0.0000 0.0000
Sr2 0.0000 0.5000 0.0000
Sr3 0.5000 0.5000 0.0000
La1 0.5000 0.0000 0.5000
La2 0.5000 0.5000 0.5000
La3 0.0000 0.5000 0.5000
Y1 0.0000 0.0000 0.5000
S1 0.2518 0.5035 0.2553
S2 0.7482 0.4965 0.7447
S3 0.7651 0.5301 0.2719
S4 0.2349 0.4699 0.7281
S5 0.7651 0.0069 0.2720
S6 0.2349 0.9931 0.7280
S7 0.2418 0.0069 0.2720
S8 0.7582 0.9931 0.7280

Energy relative to the elements, uncorrected = -2.1262 eV/atom
DOS(E_F) = 5.8 states/eV/f.u.
SG = R-3m

Entry from Alexandria: SrLaY2S4 after structural relaxation (PBE-GGA).

Cell: 4.0205 7.0628 7.0188 Å, 71.00 90.00 90.00°
Element x y z (fractional)
Sr1 0.0000 0.5000 0.5000
La1 0.5000 0.5000 0.0000
Y1 0.0000 0.0000 0.0000
Y2 0.5000 0.0000 0.5000
S1 0.0000 0.7687 0.7433
S2 0.0000 0.2313 0.2567
S3 0.5000 0.7694 0.2430
S4 0.5000 0.2306 0.7570

Energy relative to the elements, uncorrected = -2.0556 eV/atom
DOS(E_F) = 3.4 states/eV/f.u.
SG = P2/m

Entry from Alexandria: SrLa2YS after structural relaxation (PBE-GGA).

Cell: 5.7665 5.7665 5.3437 Å, 90.00 90.00 90.00°
Element x y z (fractional)
Y1 0.0000 0.0000 0.5000
Sr1 0.5000 0.5000 0.5000
S1 0.0000 0.0000 0.0000
La1 0.0000 0.5000 0.0000
La2 0.5000 0.0000 0.0000

Energy relative to the elements, uncorrected = -0.6947 eV/atom
DOS(E_F) = 8.1 states/eV/f.u.
SG = P4/mmm

Entry from Alexandria: LaTaS3 after structural relaxation (PBE-GGA).

Cell: 3.5652 5.7673 10.7168 Å, 88.38 99.46 89.87°
Element x y z (fractional)
La1 0.0041 0.7382 0.2289
La2 0.8633 0.1036 0.9561
Ta1 0.6853 0.2123 0.5960
Ta2 0.1821 0.6294 0.5890
S1 0.7456 0.8262 0.7182
S2 0.6050 0.5303 0.4322
S3 0.3980 0.6931 0.0140
S4 0.2624 0.3114 0.7528
S5 0.4694 0.1486 0.1711
S6 0.1218 0.0155 0.4669

Energy relative to the elements, uncorrected = -1.4235 eV/atom
Distance to the lowest polymorph of the same formula = 0.00 kJ per mole of atoms
DOS(E_F) = 1.5 states/eV/f.u.
SG = P-1